1.
Cs4ErNp3O12 after structural relaxation. Source: Alexandria via LeMat-Bulk, functional PBE.

Summary:
Calculated volume, Å³/cell: 338
Total moment, μB per formula unit: 4.00
Space group: No. 229
Uncorrected energy, eV/atom: -7.935
ΔE_f (raw), eV per atom: -2.62

Cell: 7.5981 7.5981 7.5981 Å, 109.47 109.47 109.47°
Closest atoms and distances in Å follow each position.
Element x y z (fractional)
Cs  0.5000  0.5000  0.5000  12 O 3.10-3.11
Cs  0.0000  0.0000  0.5000  12 O 3.10-3.11
Cs  0.5000  0.0000  0.0000  12 O 3.10-3.11
Cs  0.0000  0.5000  0.0000  12 O 3.10-3.11
Er  0.0000  0.0000  0.0000  6 O 2.35
Np  0.5000  0.0000  0.5000  6 O 2.04-2.19
Np  0.5000  0.5000  0.0000  6 O 2.04-2.19
Np  0.0000  0.5000  0.5000  6 O 2.04-2.19
O  0.2500  0.5000  0.7500  2 Np 2.19
O  0.7322  0.0000  0.7322  1 Np 2.04
O  0.2678  0.0000  0.2678  1 Np 2.04
O  0.7500  0.5000  0.2500  2 Np 2.19
O  0.7322  0.7322  0.0000  1 Np 2.04
O  0.2678  0.2678  0.0000  1 Np 2.04
O  0.7500  0.2500  0.5000  2 Np 2.19
O  0.2500  0.7500  0.5000  2 Np 2.19
O  0.5000  0.2500  0.7500  2 Np 2.19
O  0.0000  0.7322  0.7322  1 Np 2.04
O  0.5000  0.7500  0.2500  2 Np 2.19
O  0.0000  0.2678  0.2678  1 Np 2.04

=====

2.
SmFeGe2 after structural relaxation. Source: Alexandria via LeMat-Bulk, functional PBE.

Summary:
Calculated volume, Å³/cell: 295
Total moment, μB per formula unit: 0.58
Space group: No. 62
Uncorrected energy, eV/atom: -6.136
DFT formation energy, eV/atom: -0.532

Cell: 4.1966 6.9429 10.1232 Å, 90.00 90.00 90.00°
Closest atoms and distances in Å follow each position.
Element x y z (fractional)
Sm  0.7500  0.6712  0.3740  8 Ge 3.04-3.14, 3 Fe 3.20-3.23
Sm  0.7500  0.1712  0.1260  8 Ge 3.04-3.14, 3 Fe 3.20-3.23
Sm  0.2500  0.3288  0.6260  8 Ge 3.04-3.14, 3 Fe 3.20-3.23
Sm  0.2500  0.8288  0.8740  8 Ge 3.04-3.14, 3 Fe 3.20-3.23
Fe  0.2500  0.0177  0.3885  5 Ge 2.31-2.50
Fe  0.7500  0.9823  0.6115  5 Ge 2.31-2.50
Fe  0.2500  0.5177  0.1115  5 Ge 2.31-2.50
Fe  0.7500  0.4823  0.8885  5 Ge 2.31-2.50
Ge  0.7500  0.6755  0.0742  3 Fe 2.31-2.40
Ge  0.2500  0.3245  0.9258  3 Fe 2.31-2.40
Ge  0.7500  0.1755  0.4258  3 Fe 2.31-2.40
Ge  0.2500  0.8245  0.5742  3 Fe 2.31-2.40
Ge  0.7500  0.1387  0.8162  2 Fe 2.34-2.50
Ge  0.2500  0.3613  0.3162  2 Fe 2.34-2.50
Ge  0.7500  0.6387  0.6838  2 Fe 2.34-2.50
Ge  0.2500  0.8613  0.1838  2 Fe 2.34-2.50

=====

3.
PuCdInPb after structural relaxation. Source: Alexandria via LeMat-Bulk, functional PBE.

Summary:
Calculated volume, Å³/cell: 107
Total moment, μB per formula unit: 5.65
Space group: No. 216
Uncorrected energy, eV/atom: -5.446
DFT formation energy, eV/atom: -0.023

Cell: 5.3286 5.3286 5.3286 Å, 60.00 60.00 60.00°
Closest atoms and distances in Å follow each position.
Element x y z (fractional)
Pb  0.2500  0.2500  0.2500  4 Cd 3.26, 4 Pu 3.26
Cd  0.0000  0.0000  0.0000  4 Pb 3.26, 4 In 3.26
In  0.7500  0.7500  0.7500  4 Pu 3.26, 4 Cd 3.26
Pu  0.5000  0.5000  0.5000  4 In 3.26, 4 Pb 3.26

=====

4.
Ac8Ru3Br3Cl after structural relaxation. Source: Alexandria via LeMat-Bulk, functional PBE.

Summary:
Calculated volume, Å³/cell: 537
Total moment, μB per formula unit: 0.00
Space group: No. 2
Uncorrected energy, eV/atom: -5.332
ΔE_f (raw), eV per atom: -0.83

Cell: 8.8783 8.8807 9.3963 Å, 118.20 89.96 120.08°
Closest atoms and distances in Å follow each position.
Element x y z (fractional)
Ac  0.2656  0.5314  0.2979  3 Ru 3.01-3.02
Ac  0.7344  0.4686  0.7021  3 Ru 3.01-3.02
Ac  0.7504  0.5006  0.2941  2 Ru 2.95, 1 Cl 3.22
Ac  0.2496  0.4994  0.7059  2 Ru 2.95, 1 Cl 3.22
Ac  0.7501  0.0430  0.2937  2 Ru 2.95, 1 Cl 3.22
Ac  0.2499  0.9570  0.7063  2 Ru 2.95, 1 Cl 3.22
Ac  0.2927  0.0429  0.2938  2 Ru 2.95, 1 Cl 3.22
Ac  0.7073  0.9571  0.7062  2 Ru 2.95, 1 Cl 3.22
Ru  0.5000  0.0000  0.5000  6 Ac 2.95-3.02
Ru  0.5000  0.5000  0.5000  6 Ac 2.95-3.02
Ru  0.0000  0.5000  0.5000  6 Ac 2.95-3.01
Br  0.0000  0.0000  0.0000  6 Ac 3.47-3.54
Br  0.0000  0.5000  0.0000  6 Ac 3.48-3.54
Br  0.5000  0.5000  0.0000  6 Ac 3.48-3.54
Cl  0.0000  0.0000  0.5000  6 Ac 3.22

=====

5.
TaNi6Rh after structural relaxation. Source: Alexandria via LeMat-Bulk, functional PBE.

Summary:
Calculated volume, Å³/cell: 388
Total moment, μB per formula unit: 0.90
Space group: No. 65
Uncorrected energy, eV/atom: -6.873
DFT formation energy, eV/atom: -0.137

Cell: 6.3131 6.3131 10.3330 Å, 90.00 90.00 109.69°
Closest atoms and distances in Å follow each position.
Element x y z (fractional)
Ni  0.2508  0.7492  0.5023  2 Ta 2.56-2.57, 8 Ni 2.57-2.59, 2 Rh 2.59-2.61
Ni  0.8752  0.6259  0.6254  8 Ni 2.57-2.59, 3 Ta 2.57-2.60, 1 Rh 2.60
Ni  0.1248  0.3741  0.6254  8 Ni 2.57-2.59, 3 Ta 2.57-2.60, 1 Rh 2.60
Ni  0.7492  0.2508  0.5023  2 Ta 2.56-2.57, 8 Ni 2.57-2.59, 2 Rh 2.59-2.61
Ni  0.3741  0.1248  0.6254  8 Ni 2.57-2.59, 3 Ta 2.57-2.60, 1 Rh 2.60
Ni  0.6259  0.8752  0.6254  8 Ni 2.57-2.59, 3 Ta 2.57-2.60, 1 Rh 2.60
Ni  0.5000  0.5000  0.2500  2 Rh 2.52, 2 Ta 2.55, 8 Ni 2.58
Ni  0.1249  0.3742  0.3756  3 Rh 2.54-2.61, 1 Ta 2.55, 8 Ni 2.57-2.60
Ni  0.3742  0.1249  0.3756  3 Rh 2.54-2.61, 1 Ta 2.55, 8 Ni 2.57-2.60
Ni  0.2508  0.7492  0.9977  2 Ta 2.56-2.57, 8 Ni 2.57-2.59, 2 Rh 2.59-2.61
Ni  0.8751  0.6258  0.1244  3 Rh 2.54-2.61, 1 Ta 2.55, 8 Ni 2.57-2.60
Ni  0.1249  0.3742  0.1244  3 Rh 2.54-2.61, 1 Ta 2.55, 8 Ni 2.57-2.60
Ni  0.7492  0.2508  0.9977  2 Ta 2.56-2.57, 8 Ni 2.57-2.59, 2 Rh 2.59-2.61
Ni  0.3742  0.1249  0.1244  3 Rh 2.54-2.61, 1 Ta 2.55, 8 Ni 2.57-2.60
Ni  0.6258  0.8751  0.1244  3 Rh 2.54-2.61, 1 Ta 2.55, 8 Ni 2.57-2.60
Ni  0.5000  0.5000  0.7500  4 Ta 2.56-2.62, 8 Ni 2.58
Ni  0.1248  0.3741  0.8746  8 Ni 2.57-2.59, 3 Ta 2.57-2.60, 1 Rh 2.60
Ni  0.3741  0.1248  0.8746  8 Ni 2.57-2.59, 3 Ta 2.57-2.60, 1 Rh 2.60
Ni  0.0000  0.0000  0.2500  4 Rh 2.53-2.64, 8 Ni 2.57
Ni  0.6258  0.8751  0.3756  3 Rh 2.54-2.61, 1 Ta 2.55, 8 Ni 2.57-2.60
Ni  0.8751  0.6258  0.3756  3 Rh 2.54-2.61, 1 Ta 2.55, 8 Ni 2.57-2.60
Ni  0.0000  0.0000  0.7500  8 Ni 2.57, 2 Ta 2.61, 2 Rh 2.64
Ni  0.6259  0.8752  0.8746  8 Ni 2.57-2.59, 3 Ta 2.57-2.60, 1 Rh 2.60
Ni  0.8752  0.6259  0.8746  8 Ni 2.57-2.59, 3 Ta 2.57-2.60, 1 Rh 2.60
Rh  0.2558  0.7442  0.2500  12 Ni 2.52-2.64
Rh  0.7442  0.2558  0.2500  12 Ni 2.52-2.64
Rh  0.0000  0.0000  0.4946  12 Ni 2.53-2.64
Rh  0.0000  0.0000  0.0054  12 Ni 2.53-2.64
Ta  0.2523  0.7477  0.7500  12 Ni 2.56-2.61
Ta  0.7477  0.2523  0.7500  12 Ni 2.56-2.61
Ta  0.5000  0.5000  0.4963  12 Ni 2.55-2.62
Ta  0.5000  0.5000  0.0037  12 Ni 2.55-2.62

=====

6.
KAlAg2Hg after structural relaxation. Source: Alexandria via LeMat-Bulk, functional PBE.

Summary:
Calculated volume, Å³/cell: 142
Total moment, μB per formula unit: 0.00
Space group: No. 123
Uncorrected energy, eV/atom: -2.131
DFT formation energy, eV/atom: 0.038

Cell: 5.1368 5.1368 5.3657 Å, 90.00 90.00 90.00°
Closest atoms and distances in Å follow each position.
Element x y z (fractional)
K  0.5000  0.5000  0.5000  4 Hg 3.63, 8 Ag 3.71
Hg  0.0000  0.0000  0.5000  2 Al 2.68
Ag  0.0000  0.5000  0.0000  2 Al 2.57
Ag  0.5000  0.0000  0.0000  2 Al 2.57
Al  0.0000  0.0000  0.0000  4 Ag 2.57, 2 Hg 2.68